i.
Computed, not measured: AsPRuO2 after structural relaxation at the PBE-GGA level of DFT.

Output
- total magnetization (μB per formula unit) = 1.4
- V (Å³ per atom) = 15.02
- SG = P4/mmm, No. 123

Unit cell a=3.741 b=3.741 c=5.364 alpha=90.00 beta=90.00 gamma=90.00
Sites, in units of the cell vectors:
Ru: 0.000 0.000 0.000
O: 0.500 0.000 0.000
P: 0.000 0.000 0.500
As: 0.500 0.500 0.500
O: 0.000 0.500 0.000

ii.
Computed, not measured: AsPRuO2 after structural relaxation at the PBE-GGA level of DFT.

Output
- total magnetization (μB per formula unit) = 2.1
- V (Å³ per atom) = 15.03
- SG = P4/mmm, No. 123

Unit cell a=3.572 b=3.572 c=5.889 alpha=90.00 beta=90.00 gamma=90.00
Sites, in units of the cell vectors:
Ru: 0.500 0.500 0.500
As: 0.000 0.000 0.000
O: 0.000 0.500 0.000
O: 0.500 0.000 0.000
P: 0.000 0.000 0.500

Calculated relative energies: i 0.000; ii 0.362, given in eV/atom

i.
Computed, not measured: AsPS2O after structural relaxation at the PBE-GGA level of DFT.

Output
- total magnetization (μB per formula unit) = 0.0
- V (Å³ per atom) = 15.44
- SG = P4/mmm, No. 123

Unit cell a=4.317 b=4.317 c=4.142 alpha=90.00 beta=90.00 gamma=90.00
Sites, in units of the cell vectors:
S: 0.500 0.000 0.000
As: 0.500 0.500 0.500
P: 0.000 0.000 0.500
O: 0.000 0.000 0.000
S: 0.000 0.500 0.000

ii.
Computed, not measured: AsPS2O after structural relaxation at the PBE-GGA level of DFT.

Output
- total magnetization (μB per formula unit) = 0.0
- V (Å³ per atom) = 20.68
- SG = P4/mmm, No. 123

Unit cell a=4.547 b=4.547 c=5.002 alpha=90.00 beta=90.00 gamma=90.00
Sites, in units of the cell vectors:
S: 0.000 0.500 0.000
O: 0.500 0.500 0.500
As: 0.000 0.000 0.000
S: 0.500 0.000 0.000
P: 0.000 0.000 0.500

Calculated relative energies: i 0.000; ii 0.598, given in eV/atom

i.
Computed, not measured: SbAsPO2 after structural relaxation at the PBE-GGA level of DFT.

Output
- total magnetization (μB per formula unit) = 0.0
- V (Å³ per atom) = 14.93
- SG = P4/mmm, No. 123

Unit cell a=3.923 b=3.923 c=4.851 alpha=90.00 beta=90.00 gamma=90.00
Sites, in units of the cell vectors:
P: 0.000 0.000 0.500
As: 0.000 0.000 0.000
O: 0.000 0.500 0.000
O: 0.500 0.000 0.000
Sb: 0.500 0.500 0.500

ii.
Computed, not measured: SbAsPO2 after structural relaxation at the PBE-GGA level of DFT.

Output
- total magnetization (μB per formula unit) = 1.0
- V (Å³ per atom) = 16.89
- SG = P4/mmm, No. 123

Unit cell a=3.892 b=3.892 c=5.575 alpha=90.00 beta=90.00 gamma=90.00
Sites, in units of the cell vectors:
Sb: 0.000 0.000 0.000
As: 0.500 0.500 0.500
O: 0.000 0.500 0.000
P: 0.000 0.000 0.500
O: 0.500 0.000 0.000

Calculated relative energies: i 0.000; ii 0.050, given in eV/atom

i.
Computed, not measured: SbAsP2O after structural relaxation at the PBE-GGA level of DFT.

Output
- total magnetization (μB per formula unit) = 0.0
- V (Å³ per atom) = 20.13
- SG = P4/mmm, No. 123

Unit cell a=5.094 b=5.094 c=3.879 alpha=90.00 beta=90.00 gamma=90.00
Sites, in units of the cell vectors:
P: 0.000 0.500 0.000
As: 0.500 0.500 0.500
P: 0.500 0.000 0.000
Sb: 0.000 0.000 0.000
O: 0.000 0.000 0.500

ii.
Computed, not measured: SbAsP2O after structural relaxation at the PBE-GGA level of DFT.

Output
- total magnetization (μB per formula unit) = 0.0
- V (Å³ per atom) = 17.70
- SG = P4/mmm, No. 123

Unit cell a=4.870 b=4.870 c=3.733 alpha=90.00 beta=90.00 gamma=90.00
Sites, in units of the cell vectors:
Sb: 0.500 0.500 0.500
P: 0.000 0.500 0.000
As: 0.000 0.000 0.000
P: 0.500 0.000 0.000
O: 0.000 0.000 0.500

Calculated relative energies: i 0.282; ii 0.000, given in eV/atom